DFT (PBE-GGA) results for a relaxed structure of BaHgCl2.

Output
- magnetization (μB/f.u.) = 0.000
- uncorrected energy (eV/atom) = -3.120
- energy relative to the elements, uncorrected (eV/atom) = -1.64
- crystal system = monoclinic
- distance to the lowest polymorph of the same formula (meV/atom) = 164

The structure in CIF format:
```
data_BaHgCl2
_space_group_name_H-M_alt 'C 1 2/m 1'
_space_group_IT_number 12
_space_group_name_Hall '-C 2y'
_cell_length_a 7.397
_cell_length_b 7.397
_cell_length_c 4.314
_cell_angle_alpha 90.00
_cell_angle_beta 90.18
_cell_angle_gamma 90.00
loop_
_atom_site_label
_atom_site_fract_x
_atom_site_fract_y
_atom_site_fract_z
Ba1 0.000 0.000 0.000
Hg1 0.000 0.500 0.000
Cl1 0.250 0.250 0.500
```

=====

DFT (PBE-GGA) results for a relaxed structure of CrCoTe2.

Output
- magnetization (μB/f.u.) = 0.004
- uncorrected energy (eV/atom) = -5.725
- energy relative to the elements, uncorrected (eV/atom) = 0.03
- crystal system = trigonal
- distance to the lowest polymorph of the same formula (meV/atom) = 134

The structure in CIF format:
```
data_CrCoTe2
_space_group_name_H-M_alt 'R 3 m'
_space_group_IT_number 160
_space_group_name_Hall 'R 3 -2"'
_cell_length_a 3.8592
_cell_length_b 3.8592
_cell_length_c 19.5083
_cell_angle_alpha 90.00
_cell_angle_beta 90.00
_cell_angle_gamma 120.00
loop_
_atom_site_label
_atom_site_fract_x
_atom_site_fract_y
_atom_site_fract_z
Cr1 0.0000 0.0000 0.0000
Co1 0.0000 0.0000 0.6951
Te1 0.0000 0.0000 0.2536
Te2 0.0000 0.0000 0.4299
```

=====

DFT (PBE-GGA) results for a relaxed structure of Sr3CdAg2Hg6.

Output
- magnetization (μB/f.u.) = 0.000
- uncorrected energy (eV/atom) = -1.316
- E_form (eV/atom) = -0.193
- crystal system = trigonal

The structure in CIF format:
```
data_Sr3CdAg2Hg6
_space_group_name_H-M_alt 'P -3 m 1'
_space_group_IT_number 164
_space_group_name_Hall '-P 3 2"'
_cell_length_a 6.3001
_cell_length_b 6.3001
_cell_length_c 9.8578
_cell_angle_alpha 90.00
_cell_angle_beta 90.00
_cell_angle_gamma 120.00
loop_
_atom_site_label
_atom_site_fract_x
_atom_site_fract_y
_atom_site_fract_z
Sr1 0.0000 0.0000 0.0000
Sr2 0.3333 0.6667 0.6108
Cd1 0.0000 0.0000 0.5000
Ag1 0.3333 0.6667 0.9898
Hg1 0.1753 0.3506 0.2612
```

=====

DFT (PBE-GGA) results for a relaxed structure of Cu2SnPd2.

Output
- magnetization (μB/f.u.) = 0.000
- uncorrected energy (eV/atom) = -4.728
- E_form (eV/atom) = -0.211
- crystal system = orthorhombic
- distance to the lowest polymorph of the same formula (meV/atom) = 47

The structure in CIF format:
```
data_Cu2SnPd2
_space_group_name_H-M_alt 'I m m a'
_space_group_IT_number 74
_space_group_name_Hall '-I 2b 2'
_cell_length_a 4.482
_cell_length_b 5.649
_cell_length_c 12.392
_cell_angle_alpha 90.00
_cell_angle_beta 90.00
_cell_angle_gamma 90.00
loop_
_atom_site_label
_atom_site_fract_x
_atom_site_fract_y
_atom_site_fract_z
Cu1 0.000 0.250 0.006
Cu2 0.000 0.250 0.377
Sn1 0.000 0.250 0.614
Pd1 0.000 0.004 0.181
```